The following is a DFT calculation (GGA-PBE) of an optimized crystal structure of TaOsO2F.

The structure in POSCAR format:
```
TaOsO2F
1.0
4.1917 0.0000 0.0000
0.0000 4.1917 0.0000
0.0000 0.0000 3.5738
Ta Os O F
1 1 2 1
Cartesian
0.0000 0.0000 0.0000
2.0959 2.0959 0.0000
0.0000 2.0959 1.7869
2.0959 0.0000 1.7869
2.0959 2.0959 1.7869
```

Electronic total energy = -6.0993 eV per atom

The following is a DFT calculation (GGA-PBE) of an optimized crystal structure of TaOsO2F.

The structure in POSCAR format:
```
TaOsO2F
1.0
3.9891 0.0000 0.0000
0.0000 3.9891 0.0000
0.0000 0.0000 4.2150
Ta Os O F
1 1 2 1
Cartesian
0.0000 0.0000 0.0000
1.9945 1.9945 2.1075
0.0000 1.9945 0.0000
1.9945 0.0000 0.0000
0.0000 0.0000 2.1075
```

Electronic total energy = -7.5772 eV per atom

The following is a DFT calculation (GGA-PBE) of an optimized crystal structure of TaOsOF2.

The structure in POSCAR format:
```
TaOsOF2
1.0
4.6063 0.0000 0.0000
0.0000 4.6063 0.0000
0.0000 0.0000 3.6191
Ta Os O F
1 1 1 2
Cartesian
0.0000 0.0000 0.0000
2.3032 2.3032 1.8095
2.3032 2.3032 0.0000
0.0000 2.3032 1.8095
2.3032 0.0000 1.8095
```

ΔE to the lowest computed polymorph = 739 meV per atom
Electronic total energy = -6.1053 eV per atom

The following is a DFT calculation (GGA-PBE) of an optimized crystal structure of TaOsO2F.

The structure in POSCAR format:
```
TaOsO2F
1.0
3.6423 0.0000 0.0000
0.0000 3.6423 0.0000
0.0000 0.0000 6.7408
Ta Os O F
1 1 2 1
Cartesian
0.0000 0.0000 0.0000
1.8212 1.8212 3.3704
0.0000 1.8212 3.3704
1.8212 0.0000 3.3704
1.8212 1.8212 0.0000
```

Electronic total energy = -6.9848 eV per atom